This record from the Alexandria database describes a geometry-optimized La2MnGe6Os structure. The functional is GGA-PBE.

Values from the calculation:
total energy	-60.09	eV per formula unit
space group	R-3m (166)

Cell: 10.161 10.161 10.161 Å, 43.28 43.28 43.28°
Positions (direct):
La (0.132, 0.132, 0.132)
La (0.285, 0.285, 0.285)
La (0.715, 0.715, 0.715)
La (0.868, 0.868, 0.868)
Mn (0.000, 0.000, 0.000)
Mn (0.500, 0.500, 0.500)
Ge (0.132, 0.618, 0.618)
Ge (0.200, 0.200, 0.735)
Ge (0.200, 0.735, 0.200)
Ge (0.265, 0.800, 0.800)
Ge (0.382, 0.382, 0.868)
Ge (0.382, 0.868, 0.382)
Ge (0.618, 0.132, 0.618)
Ge (0.618, 0.618, 0.132)
Ge (0.735, 0.200, 0.200)
Ge (0.800, 0.265, 0.800)
Ge (0.800, 0.800, 0.265)
Ge (0.868, 0.382, 0.382)
Os (0.399, 0.399, 0.399)
Os (0.601, 0.601, 0.601)

=====

This record from the Alexandria database describes a geometry-optimized LaMn2GePb structure. The functional is GGA-PBE.

Values from the calculation:
total energy	-29.90	eV per formula unit
space group	P4/mmm (123)

Cell: 4.752 4.752 5.651 Å, 90.00 90.00 90.00°
Positions (direct):
La (0.000, 0.000, 0.000)
Mn (0.000, 0.500, 0.500)
Mn (0.500, 0.000, 0.500)
Ge (0.500, 0.500, 0.500)
Pb (0.500, 0.500, 0.000)

=====

This record from the Alexandria database describes a geometry-optimized La2MnGePd6 structure. The functional is GGA-PBE.

Values from the calculation:
total energy	-59.84	eV per formula unit
space group	R-3m (166)

Cell: 8.252 8.252 8.252 Å, 40.83 40.83 40.83°
Positions (direct):
La (0.214, 0.214, 0.214)
La (0.786, 0.786, 0.786)
Mn (0.500, 0.500, 0.500)
Ge (0.000, 0.000, 0.000)
Pd (0.249, 0.249, 0.740)
Pd (0.249, 0.740, 0.249)
Pd (0.260, 0.751, 0.751)
Pd (0.740, 0.249, 0.249)
Pd (0.751, 0.260, 0.751)
Pd (0.751, 0.751, 0.260)

=====

This record from the Alexandria database describes a geometry-optimized La2MnGe3Pt4 structure. The functional is GGA-PBE.

Values from the calculation:
total energy	-65.88	eV per formula unit
space group	P-4m2 (115)

Cell: 4.401 4.401 10.218 Å, 90.00 90.00 90.00°
Positions (direct):
La (0.000, 0.500, 0.247)
La (0.500, 0.000, 0.753)
Mn (0.500, 0.500, 0.000)
Ge (0.000, 0.000, 0.000)
Ge (0.000, 0.500, 0.627)
Ge (0.500, 0.000, 0.373)
Pt (0.000, 0.000, 0.500)
Pt (0.000, 0.500, 0.869)
Pt (0.500, 0.000, 0.131)
Pt (0.500, 0.500, 0.500)

=====

This record from the Alexandria database describes a geometry-optimized La2MnGe3Pt12 structure. The functional is GGA-PBE.

Values from the calculation:
total energy	-111.69	eV per formula unit
space group	R-3m (166)

Cell: 7.875 7.875 7.875 Å, 63.50 63.50 63.50°
Positions (direct):
La (0.118, 0.118, 0.118)
La (0.882, 0.882, 0.882)
Mn (0.500, 0.500, 0.500)
Ge (0.000, 0.500, 0.500)
Ge (0.500, 0.000, 0.500)
Ge (0.500, 0.500, 0.000)
Pt (0.128, 0.629, 0.629)
Pt (0.136, 0.136, 0.611)
Pt (0.136, 0.611, 0.136)
Pt (0.371, 0.371, 0.872)
Pt (0.371, 0.872, 0.371)
Pt (0.389, 0.864, 0.864)
Pt (0.611, 0.136, 0.136)
Pt (0.629, 0.128, 0.629)
Pt (0.629, 0.629, 0.128)
Pt (0.864, 0.389, 0.864)
Pt (0.864, 0.864, 0.389)
Pt (0.872, 0.371, 0.371)

=====

This record from the Alexandria database describes a geometry-optimized La2MnGe4Pt3 structure. The functional is GGA-PBE.

Values from the calculation:
total energy	-64.33	eV per formula unit
space group	P-4m2 (115)

Cell: 4.340 4.340 10.457 Å, 90.00 90.00 90.00°
Positions (direct):
La (0.000, 0.500, 0.248)
La (0.500, 0.000, 0.752)
Mn (0.000, 0.000, 0.500)
Ge (0.000, 0.000, 0.000)
Ge (0.000, 0.500, 0.632)
Ge (0.500, 0.000, 0.368)
Ge (0.500, 0.500, 0.000)
Pt (0.000, 0.500, 0.874)
Pt (0.500, 0.000, 0.126)
Pt (0.500, 0.500, 0.500)

=====

This record from the Alexandria database describes a geometry-optimized LaPuMnGe2 structure. The functional is GGA-PBE.

Values from the calculation:
total energy	-39.49	eV per formula unit
space group	I-4m2 (119)

Cell: 6.909 6.909 6.909 Å, 143.76 143.76 52.18°
Positions (direct):
La (0.000, 0.000, 0.000)
Pu (0.250, 0.750, 0.500)
Mn (0.750, 0.250, 0.500)
Ge (0.398, 0.398, 0.000)
Ge (0.602, 0.602, 0.000)

=====

This record from the Alexandria database describes a geometry-optimized La2MnGe4Rh3 structure. The functional is GGA-PBE.

Values from the calculation:
total energy	-67.20	eV per formula unit
space group	P-4m2 (115)

Cell: 4.288 4.288 10.341 Å, 90.00 90.00 90.00°
Positions (direct):
La (0.000, 0.500, 0.244)
La (0.500, 0.000, 0.756)
Mn (0.000, 0.000, 0.500)
Ge (0.000, 0.000, 0.000)
Ge (0.000, 0.500, 0.632)
Ge (0.500, 0.000, 0.368)
Ge (0.500, 0.500, 0.000)
Rh (0.000, 0.500, 0.875)
Rh (0.500, 0.000, 0.125)
Rh (0.500, 0.500, 0.500)

=====

This record from the Alexandria database describes a geometry-optimized LaMnGe2Rh structure. The functional is GGA-PBE.

Values from the calculation:
total energy	-34.14	eV per formula unit
space group	I-4m2 (119)

Cell: 6.128 6.128 6.128 Å, 139.93 139.93 57.96°
Positions (direct):
La (0.000, 0.000, 0.000)
Mn (0.750, 0.250, 0.500)
Ge (0.377, 0.377, 0.000)
Ge (0.623, 0.623, 0.000)
Rh (0.250, 0.750, 0.500)

=====

This record from the Alexandria database describes a geometry-optimized La2MnGe3Rh4 structure. The functional is GGA-PBE.

Values from the calculation:
total energy	-70.21	eV per formula unit
space group	P-4m2 (115)

Cell: 4.227 4.227 10.528 Å, 90.00 90.00 90.00°
Positions (direct):
La (0.000, 0.500, 0.248)
La (0.500, 0.000, 0.752)
Mn (0.500, 0.500, 0.000)
Ge (0.000, 0.000, 0.000)
Ge (0.000, 0.500, 0.626)
Ge (0.500, 0.000, 0.374)
Rh (0.000, 0.000, 0.500)
Rh (0.000, 0.500, 0.863)
Rh (0.500, 0.000, 0.137)
Rh (0.500, 0.500, 0.500)

=====

This record from the Alexandria database describes a geometry-optimized LaMnGe2Ru structure. The functional is GGA-PBE.

Values from the calculation:
total energy	-35.57	eV per formula unit
space group	I-4m2 (119)

Cell: 6.194 6.194 6.194 Å, 140.86 140.86 56.55°
Positions (direct):
La (0.000, 0.000, 0.000)
Mn (0.750, 0.250, 0.500)
Ge (0.375, 0.375, 0.000)
Ge (0.625, 0.625, 0.000)
Ru (0.250, 0.750, 0.500)

=====

This record from the Alexandria database describes a geometry-optimized LaScMnGe2 structure. The functional is GGA-PBE.

Values from the calculation:
total energy	-32.72	eV per formula unit
space group	I-4m2 (119)

Cell: 6.548 6.548 6.548 Å, 141.83 141.83 55.09°
Positions (direct):
La (0.000, 0.000, 0.000)
Sc (0.250, 0.750, 0.500)
Mn (0.750, 0.250, 0.500)
Ge (0.388, 0.388, 0.000)
Ge (0.612, 0.612, 0.000)

=====

This record from the Alexandria database describes a geometry-optimized SrLa2MnGe structure. The functional is GGA-PBE.

Values from the calculation:
total energy	-18.50	eV per formula unit
space group	P4/mmm (123)

Cell: 5.775 5.775 4.407 Å, 90.00 90.00 90.00°
Positions (direct):
Sr (0.000, 0.000, 0.000)
La (0.000, 0.500, 0.000)
La (0.500, 0.000, 0.000)
Mn (0.000, 0.000, 0.500)
Ge (0.500, 0.500, 0.500)

=====

This record from the Alexandria database describes a geometry-optimized LaTiMnGe2 structure. The functional is GGA-PBE.

Values from the calculation:
total energy	-34.18	eV per formula unit
space group	I-4m2 (119)

Cell: 6.436 6.436 6.436 Å, 142.47 142.47 54.12°
Positions (direct):
La (0.000, 0.000, 0.000)
Ti (0.250, 0.750, 0.500)
Mn (0.750, 0.250, 0.500)
Ge (0.383, 0.383, 0.000)
Ge (0.617, 0.617, 0.000)

=====

This record from the Alexandria database describes a geometry-optimized La2MnZn3Ge4 structure. The functional is GGA-PBE.

Values from the calculation:
total energy	-45.77	eV per formula unit
space group	P-4m2 (115)

Cell: 4.314 4.314 10.662 Å, 90.00 90.00 90.00°
Positions (direct):
La (0.000, 0.500, 0.248)
La (0.500, 0.000, 0.752)
Mn (0.000, 0.000, 0.500)
Zn (0.000, 0.500, 0.867)
Zn (0.500, 0.000, 0.133)
Zn (0.500, 0.500, 0.500)
Ge (0.000, 0.000, 0.000)
Ge (0.000, 0.500, 0.632)
Ge (0.500, 0.000, 0.368)
Ge (0.500, 0.500, 0.000)

=====

This record from the Alexandria database describes a geometry-optimized LaGeMo structure. The functional is GGA-PBE.

Values from the calculation:
total energy	-21.58	eV per formula unit
space group	P4/nmm (129)

Cell: 4.024 4.024 8.306 Å, 90.00 90.00 90.00°
Positions (direct):
La (0.250, 0.250, 0.149)
La (0.750, 0.750, 0.851)
Ge (0.250, 0.250, 0.713)
Ge (0.750, 0.750, 0.287)
Mo (0.250, 0.750, 0.500)
Mo (0.750, 0.250, 0.500)

=====

This record from the Alexandria database describes a geometry-optimized LaGe3Mo structure. The functional is GGA-PBE.

Values from the calculation:
total energy	-21.69	eV per formula unit
space group	Pm-3m (221)

Cell: 5.500 5.500 5.500 Å, 90.00 90.00 90.00°
Positions (direct):
La (0.000, 0.000, 0.000)
Ge (0.000, 0.000, 0.500)
Ge (0.000, 0.500, 0.000)
Ge (0.500, 0.000, 0.000)
Mo (0.500, 0.500, 0.500)

=====

This record from the Alexandria database describes a geometry-optimized LaGeMo3 structure. The functional is GGA-PBE.

Values from the calculation:
total energy	-37.43	eV per formula unit
space group	Pm-3m (221)

Cell: 4.778 4.778 4.778 Å, 90.00 90.00 90.00°
Positions (direct):
La (0.000, 0.000, 0.000)
Ge (0.500, 0.500, 0.500)
Mo (0.000, 0.500, 0.500)
Mo (0.500, 0.000, 0.500)
Mo (0.500, 0.500, 0.000)

=====

This record from the Alexandria database describes a geometry-optimized LaGeMo3 structure. The functional is GGA-PBE.

Values from the calculation:
total energy	-30.43	eV per formula unit
space group	Pm-3m (221)

Cell: 4.836 4.836 4.836 Å, 90.00 90.00 90.00°
Positions (direct):
La (0.000, 0.000, 0.000)
Ge (0.500, 0.500, 0.500)
Mo (0.000, 0.000, 0.500)
Mo (0.000, 0.500, 0.000)
Mo (0.500, 0.000, 0.000)

=====

This record from the Alexandria database describes a geometry-optimized La2GeMo structure. The functional is GGA-PBE.

Values from the calculation:
total energy	-24.01	eV per formula unit
space group	I-42d (122)

Cell: 6.562 6.562 6.562 Å, 101.60 101.60 126.71°
Positions (direct):
La (0.072, 0.625, 0.947)
La (0.375, 0.322, 0.447)
La (0.678, 0.125, 0.053)
La (0.875, 0.928, 0.553)
Ge (0.250, 0.750, 0.500)
Ge (0.500, 0.500, 0.000)
Mo (0.000, 0.000, 0.000)
Mo (0.750, 0.250, 0.500)